Entry 1:
The following is a DFT calculation (PBE) of an optimized crystal structure of TiNb3W.

Lattice parameters (Å, degrees): 2.8862 9.3467 7.0369 90.00 91.86 90.00
With the nearest neighbours (Å) after each atom.
Space group P2_1/m (No. 11)
Inequivalent atoms, fractional coordinates:
Ti  0.2377  0.2500  0.1436 x2  2 W 2.58-2.64, 3 Nb 2.59-2.85, 2 Ti 2.89
Nb  0.0103  0.7500  0.5059 x2  1 W 2.57, 1 Ti 2.59, 2 Nb 2.87
Nb  0.3074  0.0004  0.7124 x4  1 W 2.71, 2 Ti 2.85-3.01, 4 Nb 2.87-2.92
W  0.3062  0.7500  0.1658 x2  3 Nb 2.57-2.71, 2 Ti 2.58-2.64

**Calculated volume**: 190 Å³ per cell
**Formation energy from the elements**: 0.421 eV/atom
**Energy above the most stable polymorph in this dataset**: 0.422 eV per atom

***

Entry 2:
The following is a DFT calculation (PBE) of an optimized crystal structure of Ca2HgTe2.

Lattice parameters (Å, degrees): 5.6431 5.6431 13.2040 90.00 90.00 90.00
With the nearest neighbours (Å) after each atom.
Space group I4/mmm (No. 139)
Inequivalent atoms, fractional coordinates:
Ca  0.0000  0.5000  0.2500 x4  4 Te 3.08
Hg  0.0000  0.0000  0.0000 x2  8 Ca 4.34, 10 Te 4.49-4.53
Te  0.0000  0.0000  0.3434 x4  4 Ca 3.08

**Calculated volume**: 420 Å³ per cell
**Uncorrected formation energy**: -1053 meV/atom
**Energy above the most stable polymorph in this dataset**: 0.112 eV per atom